Entry 1:
Ho2Ti3Si4 (meta-GGA SCAN, single point on PBEsol structure); total magnetization = 0.00 μB per formula unit; energy = -21.5201 eV per atom; DOS at the Fermi energy = 27.91 states/eV/cell; raw formation energy = -839 meV/atom; symmetry = P4_12_12
1.0
6.9579 0.0000 0.0000
0.0000 6.9579 0.0000
0.0000 0.0000 12.7967
Ho Ti Si
8 12 16
direct
0.0026 0.3396 0.0333 Ho
0.1604 0.5026 0.2833 Ho
0.3396 0.0026 0.9667 Ho
0.4974 0.8396 0.2167 Ho
0.5026 0.1604 0.7167 Ho
0.6604 0.9974 0.4667 Ho
0.8396 0.4974 0.7833 Ho
0.9974 0.6604 0.5333 Ho
0.0070 0.1524 0.6234 Ti
0.1524 0.0070 0.3766 Ti
0.1723 0.8277 0.7500 Ti
0.3277 0.3277 0.5000 Ti
0.3476 0.5070 0.8734 Ti
0.4930 0.6524 0.6266 Ti
0.5070 0.3476 0.1266 Ti
0.6524 0.4930 0.3734 Ti
0.6723 0.6723 0.0000 Ti
0.8277 0.1723 0.2500 Ti
0.8476 0.9930 0.8766 Ti
0.9930 0.8476 0.1234 Ti
0.0458 0.7079 0.9348 Si
0.1311 0.2028 0.8158 Si
0.2028 0.1311 0.1842 Si
0.2079 0.4542 0.6848 Si
0.2921 0.9542 0.5652 Si
0.2972 0.6311 0.0658 Si
0.3689 0.7028 0.4342 Si
0.4542 0.2079 0.3152 Si
0.5458 0.7921 0.8152 Si
0.6311 0.2972 0.9342 Si
0.7028 0.3689 0.5658 Si
0.7079 0.0458 0.0652 Si
0.7921 0.5458 0.1848 Si
0.7972 0.8689 0.6842 Si
0.8689 0.7972 0.3158 Si
0.9542 0.2921 0.4348 Si

---

Entry 2:
HoZnSi (meta-GGA SCAN, single point on PBEsol structure); total magnetization = 0.00 μB per formula unit; energy = -24.8521 eV per atom; DOS at the Fermi energy = 1.13 states/eV/cell; raw formation energy = -679 meV/atom; symmetry = P-6m2
1.0
4.0459 0.0000 0.0000
-2.0229 3.5038 0.0000
0.0000 0.0000 3.9516
Ho Zn Si
1 1 1
direct
0.0000 0.0000 0.0000 Ho
0.3333 0.6667 0.5000 Zn
0.6667 0.3333 0.5000 Si

---

Entry 3:
SmHo3 (meta-GGA SCAN, single point on PBEsol structure); total magnetization = 0.00 μB per formula unit; energy = -47.8396 eV per atom; polymorph energy (0 for the lowest one) = 0.00 eV/f.u.; ΔE_f = 0.012 eV/atom; DOS at the Fermi energy = 12.75 states/eV/cell; symmetry = P6_3/mmc
1.0
7.0707 0.0000 0.0000
-3.5354 6.1234 0.0000
0.0000 0.0000 5.5581
Sm Ho
2 6
direct
0.3333 0.6667 0.2500 Sm
0.6667 0.3333 0.7500 Sm
0.1662 0.3324 0.7500 Ho
0.1662 0.8338 0.7500 Ho
0.3324 0.1662 0.2500 Ho
0.6676 0.8338 0.7500 Ho
0.8338 0.1662 0.2500 Ho
0.8338 0.6676 0.2500 Ho

---

Entry 4:
SmHo3 (meta-GGA SCAN, single point on PBEsol structure); total magnetization = 0.01 μB per formula unit; energy = -47.8317 eV per atom; polymorph energy (0 for the lowest one) = 0.03 eV/f.u.; ΔE_f = 0.020 eV/atom; DOS at the Fermi energy = 4.80 states/eV/cell; symmetry = I4/mmm
1.0
-2.4555 2.4555 4.9123
2.4555 -2.4555 4.9123
2.4555 2.4555 -4.9123
Sm Ho
1 3
direct
0.0000 0.0000 0.0000 Sm
0.2500 0.7500 0.5000 Ho
0.5000 0.5000 0.0000 Ho
0.7500 0.2500 0.5000 Ho

---

Entry 5:
Ho3Sn7 (meta-GGA SCAN, single point on PBEsol structure); total magnetization = 0.00 μB per formula unit; energy = -40.4237 eV per atom; ΔE_f = -0.583 eV/atom; DOS at the Fermi energy = 3.02 states/eV/cell; symmetry = Cmmm
1.0
2.1719 -12.9428 0.0000
2.1719 12.9428 0.0000
0.0000 0.0000 4.3690
Ho Sn
3 7
direct
0.0000 0.0000 0.0000 Ho
0.3107 0.6893 0.5000 Ho
0.6893 0.3107 0.5000 Ho
0.0969 0.9031 0.5000 Sn
0.2110 0.7890 0.0000 Sn
0.4028 0.5972 0.0000 Sn
0.5000 0.5000 0.5000 Sn
0.5972 0.4028 0.0000 Sn
0.7890 0.2110 0.0000 Sn
0.9031 0.0969 0.5000 Sn

---

Entry 6:
Ho5Sn3 (meta-GGA SCAN, single point on PBEsol structure); total magnetization = 0.00 μB per formula unit; energy = -44.9009 eV per atom; ΔE_f = -0.813 eV/atom; DOS at the Fermi energy = 7.70 states/eV/cell; symmetry = P6_3/mcm
1.0
8.7948 0.0000 0.0000
-4.3974 7.6165 0.0000
0.0000 0.0000 6.4082
Ho Sn
10 6
direct
0.0000 0.2377 0.2500 Ho
0.0000 0.7623 0.7500 Ho
0.2377 0.0000 0.2500 Ho
0.2377 0.2377 0.7500 Ho
0.3333 0.6667 0.0000 Ho
0.3333 0.6667 0.5000 Ho
0.6667 0.3333 0.0000 Ho
0.6667 0.3333 0.5000 Ho
0.7623 0.0000 0.7500 Ho
0.7623 0.7623 0.2500 Ho
0.0000 0.3956 0.7500 Sn
0.0000 0.6044 0.2500 Sn
0.3956 0.0000 0.7500 Sn
0.3956 0.3956 0.2500 Sn
0.6044 0.0000 0.2500 Sn
0.6044 0.6044 0.7500 Sn